(1)
The following is a GGA-PBE calculation of a relaxed ErCoSn6 crystal, from Alexandria.

Summary:
total DFT energy (no corrections): -4.53 eV per atom
size of the total moment: 0.8 μB/cell
formation energy: -70 meV per atom

Unit cell a=6.436 b=10.555 c=6.673 alpha=90.00 beta=118.01 gamma=90.00
Space group C2/m (No. 12)
Symmetry-distinct sites (fractional):
Er1 0.000 0.000 0.000 (multiplicity 2)
Co1 0.000 0.000 0.500 (multiplicity 2)
Sn1 0.059 0.500 0.299 (multiplicity 4)
Sn2 0.117 0.219 0.749 (multiplicity 8)

(2)
The following is a GGA-PBE calculation of a relaxed Er7Co2Sn2 crystal, from Alexandria.

Summary:
total DFT energy (no corrections): -5.20 eV per atom
size of the total moment: 0.0 μB/cell
formation energy: -278 meV per atom

Unit cell a=7.851 b=10.759 c=6.972 alpha=90.00 beta=90.00 gamma=90.00
Space group Cmmm (No. 65)
Symmetry-distinct sites (fractional):
Er1 0.000 0.000 0.000 (multiplicity 2)
Er2 0.000 0.500 0.226 (multiplicity 4)
Er3 0.250 0.250 0.240 (multiplicity 8)
Co1 0.000 0.288 0.000 (multiplicity 4)
Sn1 0.185 0.000 0.500 (multiplicity 4)

(3)
The following is a GGA-PBE calculation of a relaxed Er4CoSn3 crystal, from Alexandria.

Summary:
total DFT energy (no corrections): -5.18 eV per atom
size of the total moment: 0.2 μB/cell
formation energy: -510 meV per atom

Unit cell a=4.251 b=4.324 c=10.993 alpha=90.00 beta=90.00 gamma=90.00
Space group Pmm2 (No. 25)
Symmetry-distinct sites (fractional):
Er1 0.000 0.000 0.000 (multiplicity 1)
Er2 0.000 0.500 0.251 (multiplicity 1)
Er3 0.500 0.000 0.446 (multiplicity 1)
Er4 0.500 0.500 0.759 (multiplicity 1)
Co1 0.500 0.000 0.191 (multiplicity 1)
Sn1 0.000 0.000 0.713 (multiplicity 1)
Sn2 0.000 0.500 0.528 (multiplicity 1)
Sn3 0.500 0.500 0.042 (multiplicity 1)

(4)
The following is a GGA-PBE calculation of a relaxed ErCoSn2 crystal, from Alexandria.

Summary:
total DFT energy (no corrections): -5.26 eV per atom
size of the total moment: 0.0 μB/cell
formation energy: -344 meV per atom

Unit cell a=4.256 b=18.537 c=4.458 alpha=90.00 beta=90.00 gamma=90.00
Space group Cmcm (No. 63)
Symmetry-distinct sites (fractional):
Er1 0.000 0.115 0.250 (multiplicity 4)
Co1 0.000 0.323 0.250 (multiplicity 4)
Sn1 0.000 0.253 0.750 (multiplicity 4)
Sn2 0.000 0.453 0.250 (multiplicity 4)

(5)
The following is a GGA-PBE calculation of a relaxed Er12Co5Sn crystal, from Alexandria.

Summary:
total DFT energy (no corrections): -5.55 eV per atom
size of the total moment: 0.0 μB/cell
formation energy: -310 meV per atom

Unit cell a=9.288 b=9.306 c=9.779 alpha=90.00 beta=90.00 gamma=90.00
Space group Immm (No. 71)
Symmetry-distinct sites (fractional):
Er1 0.000 0.193 0.210 (multiplicity 8)
Er2 0.194 0.500 0.187 (multiplicity 8)
Er3 0.210 0.314 0.500 (multiplicity 8)
Co1 0.000 0.000 0.000 (multiplicity 2)
Co2 0.000 0.377 0.000 (multiplicity 4)
Co3 0.000 0.500 0.387 (multiplicity 4)
Sn1 0.000 0.000 0.500 (multiplicity 2)

(6)
The following is a GGA-PBE calculation of a relaxed Er2CoSn2 crystal, from Alexandria.

Summary:
total DFT energy (no corrections): -5.35 eV per atom
size of the total moment: 1.6 μB/cell
formation energy: -503 meV per atom

Unit cell a=6.132 b=12.665 c=6.031 alpha=90.00 beta=90.00 gamma=90.00
Space group Ibam (No. 72)
Symmetry-distinct sites (fractional):
Er1 0.204 0.160 0.000 (multiplicity 8)
Co1 0.000 0.000 0.250 (multiplicity 4)
Sn1 0.197 0.413 0.000 (multiplicity 8)